Entry 1:
Density functional theory data (PBE) for DyTlGa after structural relaxation.

```
DyTlGa
1.0
0.000 3.403 3.403
3.403 0.000 3.403
3.403 3.403 0.000
Dy Tl Ga
1 1 1
direct
0.000 0.000 0.000 Dy
0.500 0.500 0.500 Tl
0.250 0.250 0.250 Ga
```

Its density is 9.2 Mg/m³. The offset from the most stable computed form is 0.47 eV per formula unit. The total magnetization comes out at 0.00 μB/cell. As for the space-group type: F-43m.



Entry 2:
Density functional theory data (PBE) for Dy5TlGa2 after structural relaxation.

```
Dy5TlGa2
1.0
-3.870 3.870 7.178
3.870 -3.870 7.178
3.870 3.870 -7.178
Dy Tl Ga
10 2 4
direct
0.000 0.000 0.000 Dy
0.023 0.523 0.833 Dy
0.190 0.023 0.500 Dy
0.310 0.810 0.833 Dy
0.477 0.310 0.500 Dy
0.500 0.500 0.000 Dy
0.523 0.690 0.500 Dy
0.690 0.190 0.167 Dy
0.810 0.977 0.500 Dy
0.977 0.477 0.167 Dy
0.250 0.250 0.000 Tl
0.750 0.750 0.000 Tl
0.125 0.375 0.500 Ga
0.375 0.875 0.251 Ga
0.625 0.125 0.749 Ga
0.875 0.625 0.500 Ga
```

For the total energy, the calculation gives -4.380 eV/atom. Its density is 8.9 Mg/m³. The total magnetization comes out at 0.03 μB/cell. As for the space-group type: I4/mcm.



Entry 3:
Density functional theory data (PBE) for DyTlGa after structural relaxation.

```
DyTlGa
1.0
2.208 -7.226 0.000
2.208 7.226 0.000
0.000 0.000 4.551
Dy Tl Ga
2 2 2
direct
0.159 0.841 0.000 Dy
0.841 0.159 0.000 Dy
0.000 0.000 0.500 Tl
0.500 0.500 0.000 Tl
0.310 0.690 0.500 Ga
0.690 0.310 0.500 Ga
```

Its density is 10.0 Mg/m³. The offset from the most stable computed form is 0.00 eV per formula unit. The total magnetization comes out at 0.00 μB/cell. As for the space-group type: Cmmm.



Entry 4:
Density functional theory data (PBE) for DyTlGa after structural relaxation.

```
DyTlGa
1.0
0.000 3.506 3.506
3.506 0.000 3.506
3.506 3.506 0.000
Dy Tl Ga
1 1 1
direct
0.000 0.000 0.000 Dy
0.250 0.250 0.250 Tl
0.750 0.750 0.750 Ga
```

Its density is 8.4 Mg/m³. The offset from the most stable computed form is 1.06 eV per formula unit. The total magnetization comes out at 0.00 μB/cell. As for the space-group type: F-43m.



Entry 5:
Density functional theory data (PBE) for Dy2TlZn2Ga after structural relaxation.

```
Dy2TlZn2Ga
1.0
4.553 0.000 0.000
-2.276 3.943 0.000
0.000 0.000 7.265
Dy Tl Zn Ga
2 1 2 1
direct
0.000 0.000 0.000 Dy
0.000 0.000 0.485 Dy
0.333 0.667 0.711 Tl
0.333 0.667 0.276 Zn
0.667 0.333 0.803 Zn
0.667 0.333 0.208 Ga
```

For the total energy, the calculation gives -3.303 eV/atom. Its density is 9.3 Mg/m³. The total magnetization comes out at 0.00 μB/cell. As for the space-group type: P3m1.



Entry 6:
Density functional theory data (PBE) for DyTmGa2 after structural relaxation.

```
DyTmGa2
1.0
4.022 0.000 0.000
0.000 2.159 5.394
0.000 -2.159 5.394
Dy Tm Ga
1 1 2
direct
0.000 0.000 0.000 Dy
0.500 0.278 0.278 Tm
0.000 0.718 0.718 Ga
0.500 0.563 0.563 Ga
```

Its density is 8.3 Mg/m³. The offset from the most stable computed form is 0.00 eV per formula unit. The total magnetization comes out at 0.05 μB/cell. As for the space-group type: Amm2.



Entry 7:
Density functional theory data (PBE) for DyTmGa2 after structural relaxation.

```
DyTmGa2
1.0
3.546 -5.013 0.000
3.546 5.013 0.000
0.000 0.000 5.004
Dy Tm Ga
2 2 4
direct
0.129 0.871 0.750 Dy
0.871 0.129 0.250 Dy
0.373 0.627 0.250 Tm
0.627 0.373 0.750 Tm
0.131 0.373 0.750 Ga
0.373 0.131 0.250 Ga
0.627 0.869 0.750 Ga
0.869 0.627 0.250 Ga
```

Its density is 8.8 Mg/m³. The offset from the most stable computed form is 0.23 eV per formula unit. The total magnetization comes out at 0.00 μB/cell. As for the space-group type: Cmcm.



Entry 8:
Density functional theory data (PBE) for Dy2Tm5Ga after structural relaxation.

```
Dy2Tm5Ga
1.0
5.432 0.000 0.000
0.000 3.471 6.023
0.000 -3.471 6.023
Dy Tm Ga
2 5 1
direct
0.000 0.000 0.000 Dy
0.500 0.343 0.343 Dy
0.000 0.511 0.999 Tm
0.000 0.999 0.511 Tm
0.500 0.342 0.829 Tm
0.500 0.829 0.342 Tm
0.500 0.837 0.837 Tm
0.000 0.506 0.506 Ga
```

For the total energy, the calculation gives -4.379 eV/atom. Its density is 9.1 Mg/m³. The total magnetization comes out at 0.18 μB/cell. As for the space-group type: Amm2.



Entry 9:
Density functional theory data (PBE) for DyTmGa2 after structural relaxation.

```
DyTmGa2
1.0
5.026 0.000 0.000
0.000 3.169 5.812
0.000 -3.169 5.812
Dy Tm Ga
2 2 4
direct
0.000 0.000 0.000 Dy
0.500 0.379 0.379 Dy
0.500 0.395 0.872 Tm
0.500 0.872 0.395 Tm
0.000 0.042 0.489 Ga
0.000 0.489 0.042 Ga
0.000 0.549 0.549 Ga
0.500 0.863 0.863 Ga
```

Its density is 8.4 Mg/m³. The offset from the most stable computed form is 1.09 eV per formula unit. The total magnetization comes out at 0.01 μB/cell. As for the space-group type: Amm2.



Entry 10:
Density functional theory data (PBE) for DyTmGa2 after structural relaxation.

```
DyTmGa2
1.0
2.179 -6.458 0.000
2.179 6.458 0.000
0.000 0.000 6.601
Dy Tm Ga
2 2 4
direct
0.054 0.946 0.750 Dy
0.946 0.054 0.250 Dy
0.222 0.778 0.250 Tm
0.778 0.222 0.750 Tm
0.400 0.600 0.554 Ga
0.400 0.600 0.946 Ga
0.600 0.400 0.054 Ga
0.600 0.400 0.446 Ga
```

Its density is 8.4 Mg/m³. The offset from the most stable computed form is 0.00 eV per formula unit. The total magnetization comes out at 0.01 μB/cell. As for the space-group type: Cmcm.



Entry 11:
Density functional theory data (PBE) for DyTmGa2 after structural relaxation.

```
DyTmGa2
1.0
5.254 0.000 0.000
0.000 5.802 3.027
0.000 -5.802 3.027
Dy Tm Ga
2 2 4
direct
0.250 0.181 0.819 Dy
0.750 0.819 0.181 Dy
0.250 0.629 0.771 Tm
0.750 0.771 0.629 Tm
0.250 0.145 0.282 Ga
0.250 0.674 0.328 Ga
0.750 0.282 0.145 Ga
0.750 0.328 0.674 Ga
```

Its density is 8.5 Mg/m³. The offset from the most stable computed form is 1.21 eV per formula unit. The total magnetization comes out at 0.01 μB/cell. As for the space-group type: Ama2.



Entry 12:
Density functional theory data (PBE) for DyTmGa after structural relaxation.

```
DyTmGa
1.0
0.000 3.478 3.478
3.478 0.000 3.478
3.478 3.478 0.000
Dy Tm Ga
1 1 1
direct
0.000 0.000 0.000 Dy
0.500 0.500 0.500 Tm
0.250 0.250 0.250 Ga
```

Its density is 7.9 Mg/m³. The offset from the most stable computed form is 0.00 eV per formula unit. The total magnetization comes out at 0.01 μB/cell. As for the space-group type: F-43m.



Entry 13:
Density functional theory data (PBE) for DyTmGa5 after structural relaxation.

```
DyTmGa5
1.0
4.218 0.000 0.000
0.000 4.218 0.000
0.000 0.000 8.257
Dy Tm Ga
1 1 5
direct
0.000 0.000 0.000 Dy
0.000 0.000 0.500 Tm
0.000 0.500 0.258 Ga
0.000 0.500 0.742 Ga
0.500 0.000 0.258 Ga
0.500 0.000 0.742 Ga
0.500 0.500 0.000 Ga
```

For the total energy, the calculation gives -3.879 eV/atom. Its density is 7.7 Mg/m³. The total magnetization comes out at 0.02 μB/cell. As for the space-group type: P4/mmm.



Entry 14:
Density functional theory data (PBE) for DyGaW after structural relaxation.

```
DyGaW
1.0
0.000 3.196 3.196
3.196 0.000 3.196
3.196 3.196 0.000
Dy Ga W
1 1 1
direct
0.000 0.000 0.000 Dy
0.250 0.250 0.250 Ga
0.500 0.500 0.500 W
```

For the total energy, the calculation gives -6.334 eV/atom. Its density is 10.6 Mg/m³. The total magnetization comes out at 0.12 μB/cell. As for the space-group type: F-43m.



Entry 15:
Density functional theory data (PBE) for DyYGa4 after structural relaxation.

```
DyYGa4
1.0
-2.107 3.648 4.091
2.107 -3.648 4.091
2.107 3.648 -4.091
Dy Y Ga
1 1 4
direct
0.000 0.000 0.000 Dy
0.500 0.500 0.000 Y
0.082 0.749 0.333 Ga
0.415 0.749 0.667 Ga
0.585 0.251 0.333 Ga
0.918 0.251 0.667 Ga
```

Its density is 7.0 Mg/m³. The offset from the most stable computed form is 0.00 eV per formula unit. The total magnetization comes out at 0.01 μB/cell. As for the space-group type: Immm.



Entry 16:
Density functional theory data (PBE) for DyYGa4 after structural relaxation.

```
DyYGa4
1.0
2.053 -9.327 0.000
2.053 9.327 0.000
0.000 0.000 6.485
Dy Y Ga
2 2 8
direct
0.235 0.765 0.750 Dy
0.765 0.235 0.250 Dy
0.091 0.909 0.250 Y
0.909 0.091 0.750 Y
0.070 0.930 0.750 Ga
0.355 0.645 0.045 Ga
0.355 0.645 0.455 Ga
0.500 0.500 0.000 Ga
0.500 0.500 0.500 Ga
0.645 0.355 0.545 Ga
0.645 0.355 0.955 Ga
0.930 0.070 0.250 Ga
```

Its density is 7.1 Mg/m³. The offset from the most stable computed form is 0.51 eV per formula unit. The total magnetization comes out at 0.01 μB/cell. As for the space-group type: Cmcm.



Entry 17:
Density functional theory data (PBE) for DyY2Ga after structural relaxation.

```
DyY2Ga
1.0
5.224 0.000 0.000
0.000 3.506 5.974
0.000 -3.506 5.974
Dy Y Ga
2 4 2
direct
0.000 0.000 0.000 Dy
0.500 0.313 0.313 Dy
0.000 0.478 0.982 Y
0.000 0.496 0.496 Y
0.000 0.982 0.478 Y
0.500 0.816 0.816 Y
0.500 0.332 0.830 Ga
0.500 0.830 0.332 Ga
```

Its density is 6.2 Mg/m³. The offset from the most stable computed form is 0.43 eV per formula unit. The total magnetization comes out at 0.05 μB/cell. As for the space-group type: Amm2.



Entry 18:
Density functional theory data (PBE) for DyYGa after structural relaxation.

```
DyYGa
1.0
0.000 3.506 3.506
3.506 0.000 3.506
3.506 3.506 0.000
Dy Y Ga
1 1 1
direct
0.000 0.000 0.000 Dy
0.500 0.500 0.500 Y
0.250 0.250 0.250 Ga
```

Its density is 6.2 Mg/m³. The offset from the most stable computed form is 0.00 eV per formula unit. The total magnetization comes out at 0.02 μB/cell. As for the space-group type: F-43m.



Entry 19:
Density functional theory data (PBE) for DyY2Ga after structural relaxation.

```
DyY2Ga
1.0
3.422 -5.884 0.000
3.422 5.884 0.000
0.000 0.000 5.240
Dy Y Ga
2 4 2
direct
0.176 0.824 0.750 Dy
0.824 0.176 0.250 Dy
0.173 0.351 0.750 Y
0.351 0.173 0.250 Y
0.649 0.827 0.750 Y
0.827 0.649 0.250 Y
0.333 0.667 0.250 Ga
0.667 0.333 0.750 Ga
```

Its density is 6.5 Mg/m³. The offset from the most stable computed form is 0.00 eV per formula unit. The total magnetization comes out at 0.03 μB/cell. As for the space-group type: Cmcm.



Entry 20:
Density functional theory data (PBE) for Dy3Zn2Ga4 after structural relaxation.

```
Dy3Zn2Ga4
1.0
5.284 -2.186 0.000
5.284 2.186 0.000
-2.882 0.000 7.899
Dy Zn Ga
3 2 4
direct
0.000 0.000 0.000 Dy
0.331 0.331 0.333 Dy
0.669 0.669 0.667 Dy
0.396 0.396 0.726 Zn
0.604 0.604 0.274 Zn
0.065 0.065 0.399 Ga
0.294 0.294 0.959 Ga
0.706 0.706 0.041 Ga
0.935 0.935 0.601 Ga
```

For the total energy, the calculation gives -3.753 eV/atom. Its density is 8.2 Mg/m³. The total magnetization comes out at 0.01 μB/cell. As for the space-group type: C2/m.



Entry 21:
Density functional theory data (PBE) for DyZrGa after structural relaxation.

```
DyZrGa
1.0
0.000 3.365 3.365
3.365 0.000 3.365
3.365 3.365 0.000
Dy Zr Ga
1 1 1
direct
0.000 0.000 0.000 Dy
0.500 0.500 0.500 Zr
0.250 0.250 0.250 Ga
```

Its density is 7.0 Mg/m³. The offset from the most stable computed form is 0.00 eV per formula unit. The total magnetization comes out at 0.02 μB/cell. As for the space-group type: F-43m.



Entry 22:
Density functional theory data (PBE) for GdDy2 after structural relaxation.

```
GdDy2
1.0
0.000 4.632 4.632
4.632 0.000 4.632
4.632 4.632 0.000
Gd Dy
2 4
direct
0.125 0.125 0.125 Gd
0.875 0.875 0.875 Gd
0.000 0.500 0.500 Dy
0.500 0.000 0.500 Dy
0.500 0.500 0.000 Dy
0.500 0.500 0.500 Dy
```

Its density is 8.1 Mg/m³. The offset from the most stable computed form is 0.00 eV per formula unit. The formation energy comes out at 80 kJ/mol of formula units. The total magnetization comes out at 0.85 μB/cell. As for the space-group type: Fd-3m.



Entry 23:
Density functional theory data (PBE) for GdDy2 after structural relaxation.

```
GdDy2
1.0
0.000 6.994 6.994
6.994 0.000 6.994
6.994 6.994 0.000
Gd Dy
2 4
direct
0.125 0.125 0.125 Gd
0.875 0.875 0.875 Gd
0.000 0.000 0.000 Dy
0.000 0.000 0.500 Dy
0.000 0.500 0.000 Dy
0.500 0.000 0.000 Dy
```

Its density is 2.3 Mg/m³. The offset from the most stable computed form is 6.68 eV per formula unit. The formation energy comes out at 725 kJ/mol of formula units. The total magnetization comes out at 2.69 μB/cell. As for the space-group type: Fd-3m.



Entry 24:
Density functional theory data (PBE) for GdDy after structural relaxation.

```
GdDy
1.0
0.000 3.474 3.474
3.474 0.000 3.474
3.474 3.474 0.000
Gd Dy
1 1
direct
0.000 0.000 0.000 Gd
0.250 0.250 0.250 Dy
```

Its density is 6.3 Mg/m³. The offset from the most stable computed form is 3.76 eV per formula unit. The formation energy comes out at 365 kJ/mol of formula units. The total magnetization comes out at 0.01 μB/cell. As for the space-group type: F-43m.



Entry 25:
Density functional theory data (PBE) for GdDy after structural relaxation.

```
GdDy
1.0
3.617 0.000 0.000
-1.809 3.133 0.000
0.000 0.000 5.673
Gd Dy
1 1
direct
0.000 0.000 0.000 Gd
0.333 0.667 0.500 Dy
```

Its density is 8.3 Mg/m³. The offset from the most stable computed form is 0.00 eV per formula unit. The formation energy comes out at 3 kJ/mol of formula units. The total magnetization comes out at 0.01 μB/cell. As for the space-group type: P-6m2.



Entry 26:
Density functional theory data (PBE) for GdDy after structural relaxation.

```
GdDy
1.0
0.000 3.229 3.229
3.229 0.000 3.229
3.229 3.229 0.000
Gd Dy
1 1
direct
0.000 0.000 0.000 Gd
0.500 0.500 0.500 Dy
```

Its density is 7.9 Mg/m³. The offset from the most stable computed form is 1.49 eV per formula unit. The formation energy comes out at 147 kJ/mol of formula units. The total magnetization comes out at 0.96 μB/cell. As for the space-group type: Fm-3m.



Entry 27:
Density functional theory data (PBE) for Gd2DyGe2 after structural relaxation.

```
Gd2DyGe2
1.0
-3.983 5.582 3.086
3.983 -5.582 3.086
3.983 5.582 -3.086
Gd Dy Ge
4 2 4
direct
0.150 0.138 0.288 Gd
0.350 0.638 0.988 Gd
0.650 0.362 0.012 Gd
0.850 0.862 0.712 Gd
0.250 0.750 0.500 Dy
0.750 0.250 0.500 Dy
0.110 0.774 0.884 Ge
0.390 0.274 0.663 Ge
0.610 0.726 0.337 Ge
0.890 0.226 0.116 Ge
```

For the total energy, the calculation gives -5.239 eV/atom. Its density is 7.5 Mg/m³. The total magnetization comes out at 1.86 μB/cell. As for the space-group type: Ibam.